No. 1
VASP calculation (GGA-PBE) on crystalline RuSBrCl2 at its relaxed geometry.

Unit cell a=4.872 b=4.872 c=4.503 alpha=90.00 beta=90.00 gamma=90.00
Sites, in units of the cell vectors:
1 Cl 0.000 0.500 0.000
2 Cl 0.500 0.000 0.000
3 Br 0.500 0.500 0.500
4 S 0.000 0.000 0.500
5 Ru 0.000 0.000 0.000

Results
ΔE_f (raw)	163	meV/atom
distance to the lowest polymorph of the same formula	0	meV/atom
Fermi-level density of states	6.31	states/eV/f.u.
symmetry	No. 123



No. 2
VASP calculation (GGA-PBE) on crystalline Tl2RuBr2Cl4 at its relaxed geometry.

Unit cell a=7.187 b=7.189 c=7.189 alpha=59.11 beta=60.31 gamma=60.31
Each line ends with the local moment (μB).
Sites, in units of the cell vectors:
1 Br 0.788 0.759 0.759  0.06
2 Cl 0.706 0.790 0.257  0.06
3 Cl 0.294 0.743 0.210  0.06
4 Ru 0.500 0.000 0.000  1.37
5 Tl 0.726 0.251 0.251  0.02
6 Tl 0.274 0.749 0.749  0.02
7 Cl 0.294 0.210 0.743  0.06
8 Br 0.212 0.241 0.241  0.06
9 Cl 0.706 0.257 0.790  0.06

Results
ΔE_f (raw)	-697	meV/atom
Fermi-level density of states	5.56	states/eV/f.u.
symmetry	No. 12



ΔE_f (raw) of number 2 (Tl2RuBr2Cl4)?
-697 meV/atom